Record 1
The following is a PBE-GGA calculation of a geometry-optimized K2PAu structure, from the Alexandria database.

Values from the calculation:
Magnetic moment: 0.0 μB per formula unit
Space group: F-43m
Formation energy: -0.030 eV per atom
E_tot: -44.01 eV per cell

a b c (Å): 7.3262 7.3262 7.3262
angles (deg): 90.00 90.00 90.00
Element x y z (fractional)
1 K 0.0000 0.0000 0.0000
2 K 0.0000 0.5000 0.5000
3 K 0.2500 0.2500 0.2500
4 K 0.2500 0.7500 0.7500
5 K 0.5000 0.0000 0.5000
6 K 0.5000 0.5000 0.0000
7 K 0.7500 0.2500 0.7500
8 K 0.7500 0.7500 0.2500
9 P 0.2500 0.2500 0.7500
10 P 0.2500 0.7500 0.2500
11 P 0.7500 0.2500 0.2500
12 P 0.7500 0.7500 0.7500
13 Au 0.0000 0.0000 0.5000
14 Au 0.0000 0.5000 0.0000
15 Au 0.5000 0.0000 0.0000
16 Au 0.5000 0.5000 0.5000



Record 2
The following is a PBE-GGA calculation of a geometry-optimized ThTeO4F structure, from the Alexandria database.

Values from the calculation:
Magnetic moment: 1.0 μB per formula unit
Space group: C2/m
Energy relative to the elements, uncorrected: -1554 kJ/mol of formula units
E_tot: -96.74 eV per cell

a b c (Å): 6.1145 6.1145 6.8874
angles (deg): 97.69 97.69 74.43
Element x y z (fractional)
1 Th 0.2052 0.2052 0.1192
2 Th 0.7948 0.7948 0.8808
3 Te 0.3600 0.3600 0.6758
4 Te 0.6400 0.6400 0.3242
5 O 0.1254 0.4876 0.8471
6 O 0.2025 0.2025 0.4602
7 O 0.4370 0.4370 0.2391
8 O 0.4876 0.1254 0.8471
9 O 0.5124 0.8746 0.1529
10 O 0.5629 0.5629 0.7609
11 O 0.7975 0.7975 0.5398
12 O 0.8746 0.5124 0.1529
13 F 0.0305 0.0305 0.8319
14 F 0.9695 0.9695 0.1681



Record 3
The following is a PBE-GGA calculation of a geometry-optimized LiNd2H structure, from the Alexandria database.

Values from the calculation:
Magnetic moment: 0.0 μB per formula unit
Space group: R-3m
E_tot: -44.46 eV per cell

a b c (Å): 3.5580 3.5580 28.2670
angles (deg): 90.00 90.00 120.00
Element x y z (fractional)
1 Li 0.0000 0.0000 0.0000
2 Li 0.3333 0.6667 0.6667
3 Li 0.6667 0.3333 0.3333
4 Nd 0.0000 0.0000 0.1156
5 Nd 0.0000 0.0000 0.8844
6 Nd 0.3333 0.6667 0.5510
7 Nd 0.3333 0.6667 0.7823
8 Nd 0.6667 0.3333 0.2177
9 Nd 0.6667 0.3333 0.4490
10 H 0.0000 0.0000 0.5000
11 H 0.3333 0.6667 0.1667
12 H 0.6667 0.3333 0.8333



Question: Among the records above, which one has the highest E_tot?
Answer: K2PAu



Question: What is the formula in the first record?
Answer: K2PAu